No. 1
## Dy6InRu2 (PBE)

Data for a relaxed structure of Dy6InRu2.

The space group is Immm (No. 71) and the conventional cell measures 9.365, 9.496 and 10.496 Å, with angles of 90.00, 90.00 and 90.00 degrees. Symmetry generates all atoms from Dy at (0.000, 0.205, 0.240), Dy at (0.188, 0.500, 0.170), Dy at (0.212, 0.317, 0.500), In at (0.000, 0.000, 0.000), In at (0.000, 0.000, 0.500), Ru at (0.000, 0.324, 0.000) and Ru at (0.000, 0.500, 0.372).

The calculation puts the density of states at the Fermi level at 32.671 states/eV per cell. Its calculated volume is 25.93 A^3/atom. The formation energy comes out at -0.38 eV per atom. As for the energy above the most stable polymorph in this dataset: 0 kJ/mol of formula units. For the total energy, the calculation gives -5.8132 eV/atom.

No. 2
## BaLaInO4 (PBE)

Data for a relaxed structure of BaLaInO4.

The space group is I4mm (No. 107) and the conventional cell measures 4.205, 4.205 and 13.035 Å, with angles of 90.00, 90.00 and 90.00 degrees. Symmetry generates all atoms from Ba at (0.000, 0.000, 0.000), La at (0.000, 0.000, 0.714), In at (0.000, 0.000, 0.357), O at (0.000, 0.000, 0.188), O at (0.000, 0.000, 0.537) and O at (0.000, 0.500, 0.341).

The calculation puts the density of states at the Fermi level at 0.000 states/eV per cell. The raw formation energy comes out at -2.45 eV/atom. Its calculated volume is 16.46 A^3/atom. As for the energy above the most stable polymorph in this dataset: 33 kJ/mol of formula units. For the total energy, the calculation gives -6.6580 eV/atom.

No. 3
## ScOsRu2 (PBE)

Data for a relaxed structure of ScOsRu2.

The space group is Cmmm (No. 65) and the conventional cell measures 5.657, 7.594 and 2.816 Å, with angles of 90.00, 90.00 and 90.00 degrees. Symmetry generates all atoms from Sc at (0.000, 0.000, 0.000), Os at (0.000, 0.500, 0.000) and Ru at (0.250, 0.250, 0.500).

The calculation puts the density of states at the Fermi level at 9.381 states/eV per cell. Its calculated volume is 15.12 A^3/atom. The formation energy comes out at -0.07 eV per atom. As for the energy above the most stable polymorph in this dataset: 0 kJ/mol of formula units. For the total energy, the calculation gives -9.0945 eV/atom.

No. 4
## NpNbV2 (PBE)

Data for a relaxed structure of NpNbV2.

The space group is Fm-3m (No. 225) and the conventional cell measures 6.423, 6.423 and 6.423 Å, with angles of 90.00, 90.00 and 90.00 degrees. Symmetry generates all atoms from Np at (0.000, 0.000, 0.000), Nb at (0.000, 0.000, 0.500) and V at (0.250, 0.250, 0.250).

The calculation puts the density of states at the Fermi level at 31.495 states/eV per cell. Its calculated volume is 16.56 A^3/atom. The formation energy comes out at 0.30 eV per atom. As for the energy above the most stable polymorph in this dataset: 8 kJ/mol of formula units. For the total energy, the calculation gives -10.0127 eV/atom.